Ca6In2PtO (PBE, optimized geometry); space-group type = Pmmn (59); total moment = 0.0 μB/f.u.; total energy = -3.773 eV/atom; formation energy (no corrections) = -925 meV per atom
1.0
7.350 0.000 0.000
0.000 7.351 0.000
0.000 0.000 10.359
Ca In Pt O
12 4 2 2
Direct
0.500 0.250 0.265 Ca
0.500 0.250 0.735 Ca
0.000 0.750 0.235 Ca
0.000 0.750 0.765 Ca
0.264 0.014 0.500 Ca
0.736 0.014 0.500 Ca
0.264 0.485 0.500 Ca
0.736 0.485 0.500 Ca
0.764 0.515 0.000 Ca
0.236 0.515 0.000 Ca
0.236 0.986 0.000 Ca
0.764 0.986 0.000 Ca
0.500 0.750 0.250 In
0.000 0.250 0.750 In
0.500 0.750 0.750 In
0.000 0.250 0.250 In
0.000 0.750 0.500 Pt
0.500 0.250 0.000 Pt
0.500 0.250 0.500 O
0.000 0.750 0.000 O